<1>
# KFe2W (PBE, relaxed)
data_KFe2W
_chemical_formula_sum 'K4 Fe8 W4'
_symmetry_space_group_name_H-M 'F m -3 m'
_symmetry_Int_Tables_number 225
_symmetry_space_group_name_Hall '-F 4 2 3'
_cell_length_a 6.255
_cell_length_b 6.255
_cell_length_c 6.255
_cell_angle_alpha 90.00
_cell_angle_beta 90.00
_cell_angle_gamma 90.00
loop_
_atom_site_label
_atom_site_type_symbol
_atom_site_fract_x
_atom_site_fract_y
_atom_site_fract_z
_atom_site_occupancy
K1 K 0.000 0.000 0.000 1
Fe1 Fe 0.250 0.250 0.250 1
W1 W 0.000 0.000 0.500 1
# **Magnetization**: 0.006 μB per cell

=====

<2>
# KFe2W (PBE, relaxed)
data_KFe2W
_chemical_formula_sum 'K2 Fe4 W2'
_symmetry_space_group_name_H-M 'C m m 2'
_symmetry_Int_Tables_number 35
_cell_length_a 3.079
_cell_length_b 4.440
_cell_length_c 9.995
_cell_angle_alpha 90.00
_cell_angle_beta 90.00
_cell_angle_gamma 90.00
loop_
_symmetry_equiv_pos_as_xyz
'x,y,z'
'-x,-y,z'
'-x,y,z'
'x,-y,z'
'x+1/2,y+1/2,z'
'-x+1/2,-y+1/2,z'
'-x+1/2,y+1/2,z'
'x+1/2,-y+1/2,z'
loop_
_atom_site_label
_atom_site_type_symbol
_atom_site_fract_x
_atom_site_fract_y
_atom_site_fract_z
_atom_site_occupancy
K1 K 0.000 0.000 0.000 1
Fe1 Fe 0.000 0.000 0.522 1
Fe2 Fe 0.000 0.500 0.706 1
W1 W 0.000 0.500 0.317 1
# **Magnetization**: 9.083 μB per cell

=====

It is <1> that is the least stable of them.

=====

<1>
# KFeW2 (PBE, relaxed)
data_KFeW2
_chemical_formula_sum 'K1 Fe1 W2'
_symmetry_space_group_name_H-M 'P 4 m m'
_symmetry_Int_Tables_number 99
_cell_length_a 2.866
_cell_length_b 2.866
_cell_length_c 9.315
_cell_angle_alpha 90.00
_cell_angle_beta 90.00
_cell_angle_gamma 90.00
loop_
_symmetry_equiv_pos_as_xyz
'x,y,z'
'-y,x,z'
'-x,-y,z'
'y,-x,z'
'-x,y,z'
'y,x,z'
'x,-y,z'
'-y,-x,z'
loop_
_atom_site_label
_atom_site_type_symbol
_atom_site_fract_x
_atom_site_fract_y
_atom_site_fract_z
_atom_site_occupancy
K1 K 0.000 0.000 0.000 1
Fe1 Fe 0.500 0.500 0.707 1
W1 W 0.000 0.000 0.560 1
W2 W 0.500 0.500 0.338 1
# **Magnetization**: 0.407 μB per cell

=====

<2>
# KFeW2 (PBE, relaxed)
data_KFeW2
_chemical_formula_sum 'K2 Fe2 W4'
_symmetry_space_group_name_H-M 'I m m m'
_symmetry_Int_Tables_number 71
_symmetry_space_group_name_Hall '-I 2 2'
_cell_length_a 2.594
_cell_length_b 5.130
_cell_length_c 11.195
_cell_angle_alpha 90.00
_cell_angle_beta 90.00
_cell_angle_gamma 90.00
loop_
_atom_site_label
_atom_site_type_symbol
_atom_site_fract_x
_atom_site_fract_y
_atom_site_fract_z
_atom_site_occupancy
K1 K 0.000 0.000 0.000 1
Fe1 Fe 0.000 0.000 0.500 1
W1 W 0.000 0.500 0.209 1
# **Magnetization**: 4.374 μB per cell

=====

<3>
# KFeW2 (PBE, relaxed)
data_KFeW2
_chemical_formula_sum 'K2 Fe2 W4'
_symmetry_space_group_name_H-M 'C m m m'
_symmetry_Int_Tables_number 65
_symmetry_space_group_name_Hall '-C 2 2'
_cell_length_a 3.064
_cell_length_b 4.468
_cell_length_c 10.499
_cell_angle_alpha 90.00
_cell_angle_beta 90.00
_cell_angle_gamma 90.00
loop_
_atom_site_label
_atom_site_type_symbol
_atom_site_fract_x
_atom_site_fract_y
_atom_site_fract_z
_atom_site_occupancy
K1 K 0.000 0.000 0.000 1
Fe1 Fe 0.000 0.000 0.500 1
W1 W 0.000 0.500 0.301 1
# **Magnetization**: 4.001 μB per cell

=====

<4>
# KFeW2 (PBE, relaxed)
data_KFeW2
_chemical_formula_sum 'K1 Fe1 W2'
_symmetry_space_group_name_H-M 'P 1 m 1'
_symmetry_Int_Tables_number 6
_cell_length_a 2.698
_cell_length_b 4.247
_cell_length_c 7.712
_cell_angle_alpha 90.00
_cell_angle_beta 94.80
_cell_angle_gamma 90.00
loop_
_symmetry_equiv_pos_as_xyz
'x,y,z'
'x,-y,z'
loop_
_atom_site_label
_atom_site_type_symbol
_atom_site_fract_x
_atom_site_fract_y
_atom_site_fract_z
_atom_site_occupancy
K1 K 0.000 0.000 0.000 1
Fe1 Fe 0.158 0.500 0.658 1
W1 W 0.509 0.000 0.525 1
W2 W 0.812 0.500 0.361 1
# **Magnetization**: 2.393 μB per cell

=====

It is <2> that is the least stable of them.

=====

<1>
# KFeW3 (PBE, relaxed)
data_KFeW3
_chemical_formula_sum 'K1 Fe1 W3'
_symmetry_space_group_name_H-M 'P m -3 m'
_symmetry_Int_Tables_number 221
_symmetry_space_group_name_Hall '-P 4 2 3'
_cell_length_a 4.637
_cell_length_b 4.637
_cell_length_c 4.637
_cell_angle_alpha 90.00
_cell_angle_beta 90.00
_cell_angle_gamma 90.00
loop_
_atom_site_label
_atom_site_type_symbol
_atom_site_fract_x
_atom_site_fract_y
_atom_site_fract_z
_atom_site_occupancy
K1 K 0.000 0.000 0.000 1
Fe1 Fe 0.500 0.500 0.500 1
W1 W 0.000 0.500 0.500 1
# **Magnetization**: 0.000 μB per cell

=====

<2>
# KFeW3 (PBE, relaxed)
data_KFeW3
_chemical_formula_sum 'K1 Fe1 W3'
_symmetry_space_group_name_H-M 'P m -3 m'
_symmetry_Int_Tables_number 221
_symmetry_space_group_name_Hall '-P 4 2 3'
_cell_length_a 4.428
_cell_length_b 4.428
_cell_length_c 4.428
_cell_angle_alpha 90.00
_cell_angle_beta 90.00
_cell_angle_gamma 90.00
loop_
_atom_site_label
_atom_site_type_symbol
_atom_site_fract_x
_atom_site_fract_y
_atom_site_fract_z
_atom_site_occupancy
K1 K 0.000 0.000 0.000 1
Fe1 Fe 0.500 0.500 0.500 1
W1 W 0.000 0.000 0.500 1
# **Magnetization**: 0.000 μB per cell

=====

It is <2> that is the least stable of them.

=====

<1>
# KFe3W (PBE, relaxed)
data_KFe3W
_chemical_formula_sum 'K1 Fe3 W1'
_symmetry_space_group_name_H-M 'P m -3 m'
_symmetry_Int_Tables_number 221
_symmetry_space_group_name_Hall '-P 4 2 3'
_cell_length_a 4.731
_cell_length_b 4.731
_cell_length_c 4.731
_cell_angle_alpha 90.00
_cell_angle_beta 90.00
_cell_angle_gamma 90.00
loop_
_atom_site_label
_atom_site_type_symbol
_atom_site_fract_x
_atom_site_fract_y
_atom_site_fract_z
_atom_site_occupancy
K1 K 0.000 0.000 0.000 1
Fe1 Fe 0.000 0.500 0.500 1
W1 W 0.500 0.500 0.500 1
# **Magnetization**: 6.254 μB per cell

=====

<2>
# KFe3W (PBE, relaxed)
data_KFe3W
_chemical_formula_sum 'K1 Fe3 W1'
_symmetry_space_group_name_H-M 'P m -3 m'
_symmetry_Int_Tables_number 221
_symmetry_space_group_name_Hall '-P 4 2 3'
_cell_length_a 4.153
_cell_length_b 4.153
_cell_length_c 4.153
_cell_angle_alpha 90.00
_cell_angle_beta 90.00
_cell_angle_gamma 90.00
loop_
_atom_site_label
_atom_site_type_symbol
_atom_site_fract_x
_atom_site_fract_y
_atom_site_fract_z
_atom_site_occupancy
K1 K 0.000 0.000 0.000 1
Fe1 Fe 0.000 0.000 0.500 1
W1 W 0.500 0.500 0.500 1
# **Magnetization**: 0.000 μB per cell

=====

It is <2> that is the least stable of them.